[1]
ScHg2Pb (PBE-GGA, relaxed); DOS at the Fermi energy = 1.712 states/eV per cell; ΔE_f = -211 meV/atom; raw total energy = -2.87 eV per atom
1.0
4.420 0.000 0.000
0.000 4.420 0.000
0.000 0.000 4.859
Sc Hg Pb
1 2 1
direct
0.000 0.000 0.000
0.000 0.500 0.500
0.500 0.000 0.500
0.500 0.500 0.000

---

[2]
Sc2HgPb (PBE-GGA, relaxed); DOS at the Fermi energy = 6.086 states/eV per cell; ΔE_f = -205 meV/atom; raw total energy = -4.37 eV per atom
1.0
3.964 0.000 0.000
0.000 3.964 0.000
0.000 0.000 6.207
Sc Hg Pb
2 1 1
direct
0.000 0.000 0.000
0.500 0.500 0.279
0.000 0.000 0.482
0.500 0.500 0.778

---

[3]
Sc2HgPb2 (PBE-GGA, relaxed); DOS at the Fermi energy = 2.306 states/eV per cell; excess energy over the best structure of this formula in the dataset = 264.1 meV/atom; ΔE_f = 51 meV/atom; raw total energy = -4.03 eV per atom
1.0
-2.796 2.796 4.852
2.796 -2.796 4.852
2.796 2.796 -4.852
Sc Hg Pb
2 1 2
direct
0.250 0.750 0.500
0.750 0.250 0.500
0.000 0.000 0.000
0.339 0.339 0.000
0.661 0.661 0.000

---

What did the third record say?
Sc2HgPb2 (PBE-GGA, relaxed); DOS at the Fermi energy = 2.306 states/eV per cell; excess energy over the best structure of this formula in the dataset = 264.1 meV/atom; ΔE_f = 51 meV/atom; raw total energy = -4.03 eV per atom
1.0
-2.796 2.796 4.852
2.796 -2.796 4.852
2.796 2.796 -4.852
Sc Hg Pb
2 1 2
direct
0.250 0.750 0.500
0.750 0.250 0.500
0.000 0.000 0.000
0.339 0.339 0.000
0.661 0.661 0.000